This record from the Alexandria database describes a geometry-optimized SrPdBr5 structure. The functional is GGA-PBE.

POSCAR file:
```
SrPdBr5
1.0
4.7231 -5.3641 0.0000
4.7231 5.3641 0.0000
-3.6332 0.0000 9.2220
Sr Pd Br
2 2 10
Cartesian
1.9982 4.7052 6.9165 Sr
3.8148 -4.7052 2.3055 Sr
2.3615 2.6821 0.0000 Pd
0.5450 -2.6821 4.6110 Pd
1.8929 0.2704 0.5531 Br
3.8148 2.9339 2.3055 Br
0.8472 2.0540 8.0740 Br
0.0763 -0.2704 5.1641 Br
3.1492 2.0540 5.7590 Br
2.6638 -2.0540 3.4630 Br
5.7367 0.2704 4.0579 Br
4.9658 -2.0540 1.1480 Br
1.9982 -2.9339 6.9165 Br
3.9201 -0.2704 8.6689 Br
```

Calculated values
crystal system	monoclinic
electronic total energy	-3.216	eV/atom
E_form (uncorrected)	-1.039	eV per atom

This record from the Alexandria database describes a geometry-optimized KTbWN3 structure. The functional is GGA-PBE.

POSCAR file:
```
KTbWN3
1.0
6.7638 -1.9786 0.0000
6.7638 1.9786 0.0000
-1.9755 0.0000 7.5071
K Tb W N
2 2 2 6
Cartesian
1.8244 0.0000 0.4864 K
9.7277 0.0000 7.0207 K
1.0483 0.0000 4.3725 Tb
10.5038 0.0000 3.1346 Tb
5.3537 0.0000 5.0636 W
6.1983 0.0000 2.4434 W
-0.4637 0.0000 2.3482 N
3.3505 0.0000 4.7132 N
4.4308 0.0000 1.7102 N
7.1212 0.0000 5.7969 N
8.2015 0.0000 2.7939 N
12.0157 0.0000 5.1588 N
```

Calculated values
crystal system	monoclinic
electronic total energy	-7.900	eV/atom
E_form (uncorrected)	-0.624	eV per atom
N(E_F)	0.74	states/eV/atom

> The lowest electronic total energy belongs to which entry?

KTbWN3

> Which of these has the highest electronic total energy?

SrPdBr5

Please write out number 1 again, unchanged.
This record from the Alexandria database describes a geometry-optimized SrPdBr5 structure. The functional is GGA-PBE.

POSCAR file:
```
SrPdBr5
1.0
4.7231 -5.3641 0.0000
4.7231 5.3641 0.0000
-3.6332 0.0000 9.2220
Sr Pd Br
2 2 10
Cartesian
1.9982 4.7052 6.9165 Sr
3.8148 -4.7052 2.3055 Sr
2.3615 2.6821 0.0000 Pd
0.5450 -2.6821 4.6110 Pd
1.8929 0.2704 0.5531 Br
3.8148 2.9339 2.3055 Br
0.8472 2.0540 8.0740 Br
0.0763 -0.2704 5.1641 Br
3.1492 2.0540 5.7590 Br
2.6638 -2.0540 3.4630 Br
5.7367 0.2704 4.0579 Br
4.9658 -2.0540 1.1480 Br
1.9982 -2.9339 6.9165 Br
3.9201 -0.2704 8.6689 Br
```

Calculated values
crystal system	monoclinic
electronic total energy	-3.216	eV/atom
E_form (uncorrected)	-1.039	eV per atom